(1)
# AlGaPt2Cl

A geometry-optimized AlGaPt2Cl structure (PBE-GGA, the Alexandria database).

```
5
Lattice="4.6935 0.0000 0.0000 0.0000 4.6935 0.0000 0.0000 0.0000 4.9179" Properties=species:S:1:pos:R:3 pbc="T T T"
Al 0.0000 0.0000 0.0000
Ga 2.3467 2.3467 2.4590
Pt 0.0000 2.3467 0.0000
Pt 2.3467 0.0000 0.0000
Cl 0.0000 0.0000 2.4590
```

total energy	-4.00	eV/atom
magnetic moment	0.000	Bohr magnetons per cell
SG	P4/mmm (123)
ΔE_f (raw)	135.6	meV per atom

***

(2)
# RbAl2GaCl8

A geometry-optimized RbAl2GaCl8 structure (PBE-GGA, the Alexandria database).

```
12
Lattice="3.3612 1.9406 9.6908 -3.3612 1.9406 9.6908 0.0000 -3.8812 9.6908" Properties=species:S:1:pos:R:3 pbc="T T T"
Rb 0.0000 0.0000 0.0000
Al 0.0000 0.0000 7.3766
Al 0.0000 0.0000 21.6957
Ga 0.0000 0.0000 14.5362
Cl -2.5128 -0.0743 12.6961
Cl -1.1921 -2.2133 16.3762
Cl 0.0000 0.0000 9.5302
Cl 1.3208 -2.1390 12.6961
Cl -1.3208 2.1390 16.3762
Cl 0.0000 0.0000 19.5422
Cl 1.1921 2.2133 12.6961
Cl 2.5128 0.0743 16.3762
```

total energy	-3.72	eV/atom
magnetic moment	0.000	Bohr magnetons per cell
SG	R-3 (148)
ΔE_f (raw)	-1534.0	meV per atom

***

(3)
# AlGaS2Cl

A geometry-optimized AlGaS2Cl structure (PBE-GGA, the Alexandria database).

```
5
Lattice="4.6275 0.0000 0.0000 0.0000 4.6275 0.0000 0.0000 0.0000 4.9704" Properties=species:S:1:pos:R:3 pbc="T T T"
Al 0.0000 0.0000 0.0000
Ga 2.3138 2.3138 2.4852
S 0.0000 2.3138 0.0000
S 2.3138 0.0000 0.0000
Cl 0.0000 0.0000 2.4852
```

total energy	-3.81	eV/atom
magnetic moment	0.407	Bohr magnetons per cell
SG	P4/mmm (123)
E above lowest polymorph	0	meV per atom
ΔE_f (raw)	-440.1	meV per atom

***

(4)
# AlGaSCl2

A geometry-optimized AlGaSCl2 structure (PBE-GGA, the Alexandria database).

```
5
Lattice="4.8486 0.0000 0.0000 0.0000 4.8486 0.0000 0.0000 0.0000 4.6125" Properties=species:S:1:pos:R:3 pbc="T T T"
Al 0.0000 0.0000 0.0000
Ga 2.4243 2.4243 2.3063
S 0.0000 0.0000 2.3063
Cl 0.0000 2.4243 0.0000
Cl 2.4243 0.0000 0.0000
```

total energy	-3.67	eV/atom
magnetic moment	0.000	Bohr magnetons per cell
SG	P4/mmm (123)
E above lowest polymorph	0	meV per atom
ΔE_f (raw)	-756.0	meV per atom

***

(5)
# TaAlGa2Cl

A geometry-optimized TaAlGa2Cl structure (PBE-GGA, the Alexandria database).

```
5
Lattice="4.7614 0.0000 0.0000 0.0000 4.7614 0.0000 0.0000 0.0000 4.5002" Properties=species:S:1:pos:R:3 pbc="T T T"
Ta 0.0000 0.0000 0.0000
Al 2.3807 2.3807 0.0000
Ga 0.0000 2.3807 2.2501
Ga 2.3807 0.0000 2.2501
Cl 2.3807 2.3807 2.2501
```

total energy	-3.77	eV/atom
magnetic moment	0.000	Bohr magnetons per cell
SG	P4/mmm (123)
ΔE_f (raw)	929.3	meV per atom

***

(6)
# Al3GeCl

A geometry-optimized Al3GeCl structure (PBE-GGA, the Alexandria database).

```
5
Lattice="4.9492 0.0000 0.0000 0.0000 4.9492 0.0000 0.0000 0.0000 4.9492" Properties=species:S:1:pos:R:3 pbc="T T T"
Al 0.0000 0.0000 2.4746
Al 0.0000 2.4746 0.0000
Al 2.4746 0.0000 0.0000
Ge 2.4746 2.4746 2.4746
Cl 0.0000 0.0000 0.0000
```

total energy	-2.81	eV/atom
magnetic moment	0.000	Bohr magnetons per cell
SG	Pm-3m (221)
E above lowest polymorph	279	meV per atom
ΔE_f (raw)	731.2	meV per atom

***

(7)
# AlGeCl

A geometry-optimized AlGeCl structure (PBE-GGA, the Alexandria database).

```
6
Lattice="4.1640 0.0000 0.0000 0.0003 4.3636 0.0000 0.0290 0.0231 10.2036" Properties=species:S:1:pos:R:3 pbc="T T T"
Al 0.8752 1.0981 3.5821
Al 3.3182 3.2886 6.6214
Ge 1.1728 3.2812 5.0344
Ge 3.0206 1.1054 5.1692
Cl 0.9952 1.1011 1.4942
Cl 3.1981 3.2856 8.7094
```

total energy	-3.88	eV/atom
magnetic moment	0.000	Bohr magnetons per cell
SG	P-1 (2)
ΔE_f (raw)	-480.0	meV per atom

***

(8)
# AlGe2Cl

A geometry-optimized AlGe2Cl structure (PBE-GGA, the Alexandria database).

```
4
Lattice="0.0000 3.3941 3.3941 3.3941 0.0000 3.3941 3.3941 3.3941 0.0000" Properties=species:S:1:pos:R:3 pbc="T T T"
Al 0.0000 0.0000 0.0000
Ge 1.6970 1.6970 1.6970
Ge 5.0911 5.0911 5.0911
Cl 3.3941 3.3941 3.3941
```

total energy	-3.45	eV/atom
magnetic moment	0.000	Bohr magnetons per cell
SG	Fm-3m (225)
E above lowest polymorph	0	meV per atom
ΔE_f (raw)	256.1	meV per atom

***

(9)
# Al3GeCl

A geometry-optimized Al3GeCl structure (PBE-GGA, the Alexandria database).

```
5
Lattice="5.1089 0.0000 0.0000 0.0000 5.1089 0.0000 0.0000 0.0000 5.1089" Properties=species:S:1:pos:R:3 pbc="T T T"
Al 0.0000 0.0000 2.5544
Al 0.0000 2.5544 0.0000
Al 2.5544 0.0000 0.0000
Ge 0.0000 0.0000 0.0000
Cl 2.5544 2.5544 2.5544
```

total energy	-3.09	eV/atom
magnetic moment	0.000	Bohr magnetons per cell
SG	Pm-3m (221)
E above lowest polymorph	0	meV per atom
ΔE_f (raw)	451.7	meV per atom

***

(10)
# AlGe2Cl

A geometry-optimized AlGe2Cl structure (PBE-GGA, the Alexandria database).

```
8
Lattice="-2.8932 2.8932 6.6454 2.8932 -2.8932 6.6454 2.8932 2.8932 -6.6454" Properties=species:S:1:pos:R:3 pbc="T T T"
Al 0.0000 0.0000 0.0000
Al 0.0000 2.8932 3.3227
Ge 4.3398 1.2693 -1.6614
Ge 1.2693 1.4466 1.6614
Ge -1.4466 1.6238 4.9841
Ge 1.6238 1.4466 8.3068
Cl 2.8932 0.0000 3.3227
Cl 0.0000 0.0000 6.6454
```

total energy	-3.38	eV/atom
magnetic moment	0.000	Bohr magnetons per cell
SG	I-42d (122)
E above lowest polymorph	71	meV per atom
ΔE_f (raw)	326.9	meV per atom

***

(11)
# AlGe3Cl9

A geometry-optimized AlGe3Cl9 structure (PBE-GGA, the Alexandria database).

```
26
Lattice="7.6336 -5.0713 0.0000 7.6336 5.0713 0.0000 -5.8155 0.0000 11.3111" Properties=species:S:1:pos:R:3 pbc="T T T"
Al 4.7259 3.8289 5.6556
Al 7.6336 -3.8289 0.0000
Ge -2.7017 1.1509 9.4814
Ge 0.2060 -1.1509 3.8258
Ge 3.9186 0.5455 6.8160
Ge 6.8263 -0.5455 1.1604
Ge 9.1506 0.4379 4.5738
Ge 6.2428 -0.4379 10.2294
Cl -1.3132 2.4799 11.2794
Cl -0.9436 0.0500 5.7085
Cl 1.9641 -0.0500 0.0529
Cl 2.9205 2.3813 5.3257
Cl 5.8464 2.6229 3.8826
Cl 2.7822 1.0070 8.6812
Cl 5.6592 2.2590 7.1689
Cl 8.7667 1.4347 2.4537
Cl 1.5945 -2.4799 5.6239
Cl 5.6899 -1.0070 3.0256
Cl 0.0128 -2.3813 10.9813
Cl 2.9386 -2.6229 9.5382
Cl 5.8590 -1.4347 8.1093
Cl 8.5669 -2.2590 1.5134
Cl 11.4886 0.2287 3.9913
Cl 8.5809 -0.2287 9.6468
Cl 14.2060 0.0898 1.6036
Cl 11.2983 -0.0898 7.2592
```

total energy	-3.62	eV/atom
magnetic moment	0.000	Bohr magnetons per cell
SG	Cc (9)
ΔE_f (raw)	-986.4	meV per atom

***

(12)
# LaAlGeCl

A geometry-optimized LaAlGeCl structure (PBE-GGA, the Alexandria database).

```
8
Lattice="2.1588 1.2464 13.2906 -2.1588 1.2464 13.2906 0.0000 -2.4928 13.2906" Properties=species:S:1:pos:R:3 pbc="T T T"
La 0.0000 0.0000 3.4216
La 0.0000 0.0000 36.4501
Al 0.0000 0.0000 12.3148
Al 0.0000 0.0000 27.5569
Ge 0.0000 0.0000 14.8780
Ge 0.0000 0.0000 24.9937
Cl 0.0000 0.0000 8.2556
Cl 0.0000 0.0000 31.6161
```

total energy	-4.88	eV/atom
magnetic moment	0.000	Bohr magnetons per cell
SG	R-3m (166)
ΔE_f (raw)	-1101.1	meV per atom